Record 1
Below is a relaxed structure of KZn3Ga, with properties calculated at the PBE-GGA level.

Calculated values
Crystal system: cubic
Symmetry: Pm-3m
DFT formation energy: 87 kJ/mol of formula units

Cell lengths 5.053, 5.053, 5.053 Å; angles 90.00, 90.00, 90.00 degrees
Element x y z (fractional)
K (0.000, 0.000, 0.000)
Zn (0.000, 0.500, 0.500)
Zn (0.500, 0.000, 0.500)
Zn (0.500, 0.500, 0.000)
Ga (0.500, 0.500, 0.500)

Record 2
Below is a relaxed structure of HfIr3Pt, with properties calculated at the PBE-GGA level.

Calculated values
Crystal system: cubic
Symmetry: Pm-3m
DFT formation energy: 831 kJ/mol of formula units

Cell lengths 4.756, 4.756, 4.756 Å; angles 90.00, 90.00, 90.00 degrees
Element x y z (fractional)
Hf (0.000, 0.000, 0.000)
Ir (0.000, 0.000, 0.500)
Ir (0.000, 0.500, 0.000)
Ir (0.500, 0.000, 0.000)
Pt (0.500, 0.500, 0.500)

Record 3
Below is a relaxed structure of SiSbTe2, with properties calculated at the PBE-GGA level.

Calculated values
Crystal system: tetragonal
Symmetry: I-4m2
Energy relative to the elements, uncorrected: 487 meV per atom

Cell lengths 4.197, 4.197, 12.989 Å; angles 90.00, 90.00, 90.00 degrees
Element x y z (fractional)
Si (0.000, 0.000, 0.000)
Si (0.500, 0.500, 0.500)
Sb (0.000, 0.500, 0.250)
Sb (0.500, 0.000, 0.750)
Te (0.000, 0.000, 0.500)
Te (0.000, 0.500, 0.750)
Te (0.500, 0.000, 0.250)
Te (0.500, 0.500, 0.000)

Record 4
Below is a relaxed structure of TaGa4Co2, with properties calculated at the PBE-GGA level.

Calculated values
Crystal system: tetragonal
Symmetry: I4/mmm
DFT formation energy: 430 kJ/mol of formula units

Cell lengths 4.891, 4.891, 12.191 Å; angles 90.00, 90.00, 90.00 degrees
Element x y z (fractional)
Ta (0.000, 0.000, 0.000)
Ta (0.500, 0.500, 0.500)
Ga (0.000, 0.000, 0.215)
Ga (0.000, 0.000, 0.785)
Ga (0.000, 0.500, 0.000)
Ga (0.000, 0.500, 0.500)
Ga (0.500, 0.000, 0.000)
Ga (0.500, 0.000, 0.500)
Ga (0.500, 0.500, 0.285)
Ga (0.500, 0.500, 0.715)
Co (0.000, 0.000, 0.412)
Co (0.000, 0.000, 0.588)
Co (0.500, 0.500, 0.088)
Co (0.500, 0.500, 0.912)

Record 5
Below is a relaxed structure of LiTlS2, with properties calculated at the PBE-GGA level.

Calculated values
Crystal system: triclinic
Symmetry: P1
Energy relative to the elements, uncorrected: -555 meV per atom

Cell lengths 4.250, 7.127, 7.473 Å; angles 109.21, 102.11, 106.95 degrees
Element x y z (fractional)
Li (0.000, 0.000, 0.000)
Li (0.131, 0.531, 0.595)
Tl (0.717, 0.442, 0.004)
Tl (0.764, 0.942, 0.443)
S (0.282, 0.375, 0.276)
S (0.388, 0.939, 0.770)
S (0.389, 0.791, 0.976)
S (0.502, 0.315, 0.525)

Record 6
Below is a relaxed structure of Nd5Pb4, with properties calculated at the PBE-GGA level.

Calculated values
Crystal system: orthorhombic
Symmetry: Pnma
DFT formation energy: -504 kJ/mol of formula units

Cell lengths 8.454, 16.145, 8.579 Å; angles 90.00, 90.00, 90.00 degrees
Element x y z (fractional)
Nd (0.029, 0.101, 0.178)
Nd (0.029, 0.399, 0.178)
Nd (0.124, 0.619, 0.341)
Nd (0.124, 0.881, 0.341)
Nd (0.208, 0.250, 0.503)
Nd (0.292, 0.750, 0.003)
Nd (0.376, 0.119, 0.841)
Nd (0.376, 0.381, 0.841)
Nd (0.471, 0.601, 0.678)
Nd (0.471, 0.899, 0.678)
Nd (0.529, 0.101, 0.322)
Nd (0.529, 0.399, 0.322)
Nd (0.624, 0.619, 0.159)
Nd (0.624, 0.881, 0.159)
Nd (0.708, 0.250, 0.997)
Nd (0.792, 0.750, 0.497)
Nd (0.876, 0.119, 0.659)
Nd (0.876, 0.381, 0.659)
Nd (0.971, 0.601, 0.822)
Nd (0.971, 0.899, 0.822)
Pb (0.073, 0.250, 0.878)
Pb (0.162, 0.750, 0.647)
Pb (0.218, 0.043, 0.534)
Pb (0.218, 0.457, 0.534)
Pb (0.282, 0.543, 0.034)
Pb (0.282, 0.957, 0.034)
Pb (0.338, 0.250, 0.147)
Pb (0.427, 0.750, 0.378)
Pb (0.573, 0.250, 0.622)
Pb (0.662, 0.750, 0.853)
Pb (0.718, 0.043, 0.966)
Pb (0.718, 0.457, 0.966)
Pb (0.782, 0.543, 0.466)
Pb (0.782, 0.957, 0.466)
Pb (0.838, 0.250, 0.353)
Pb (0.927, 0.750, 0.122)

Record 7
Below is a relaxed structure of La6GaHg2, with properties calculated at the PBE-GGA level.

Calculated values
Crystal system: hexagonal
Symmetry: P-62m
DFT formation energy: -295 kJ/mol of formula units

Cell lengths 9.061, 9.061, 3.985 Å; angles 90.00, 90.00, 120.00 degrees
Element x y z (fractional)
La (0.000, 0.395, 0.000)
La (0.000, 0.737, 0.500)
La (0.263, 0.263, 0.500)
La (0.395, 0.000, 0.000)
La (0.605, 0.605, 0.000)
La (0.737, 0.000, 0.500)
Ga (0.000, 0.000, 0.000)
Hg (0.333, 0.667, 0.500)
Hg (0.667, 0.333, 0.500)

Record 8
Below is a relaxed structure of MgTlF3, with properties calculated at the PBE-GGA level.

Calculated values
Crystal system: hexagonal
Symmetry: P6_3/mmc
Energy relative to the elements, uncorrected: -2294 meV per atom

Cell lengths 4.330, 4.330, 8.853 Å; angles 90.00, 90.00, 120.00 degrees
Element x y z (fractional)
Mg (0.000, 0.000, 0.000)
Mg (0.000, 0.000, 0.500)
Tl (0.333, 0.667, 0.250)
Tl (0.667, 0.333, 0.750)
F (0.000, 0.000, 0.250)
F (0.000, 0.000, 0.750)
F (0.333, 0.667, 0.552)
F (0.333, 0.667, 0.948)
F (0.667, 0.333, 0.052)
F (0.667, 0.333, 0.448)

Record 9
Below is a relaxed structure of Ac6Hg5Ru, with properties calculated at the PBE-GGA level.

Calculated values
Crystal system: monoclinic
Symmetry: C2/m
DFT formation energy: -439 kJ/mol of formula units

Cell lengths 7.729, 7.729, 7.728 Å; angles 98.31, 98.31, 109.72 degrees
Element x y z (fractional)
Ac (0.048, 0.367, 0.704)
Ac (0.191, 0.191, 0.231)
Ac (0.367, 0.048, 0.704)
Ac (0.633, 0.952, 0.296)
Ac (0.809, 0.809, 0.769)
Ac (0.952, 0.633, 0.296)
Hg (0.221, 0.779, 0.000)
Hg (0.374, 0.626, 0.500)
Hg (0.500, 0.500, 0.000)
Hg (0.626, 0.374, 0.500)
Hg (0.779, 0.221, 0.000)
Ru (0.000, 0.000, 0.500)

Record 10
Below is a relaxed structure of BaLaOs2, with properties calculated at the PBE-GGA level.

Calculated values
Crystal system: orthorhombic
Symmetry: Cmmm
DFT formation energy: 369 kJ/mol of formula units

Cell lengths 3.493, 5.306, 9.753 Å; angles 90.00, 90.00, 90.00 degrees
Element x y z (fractional)
Ba (0.000, 0.000, 0.000)
Ba (0.500, 0.500, 0.000)
La (0.000, 0.000, 0.500)
La (0.500, 0.500, 0.500)
Os (0.000, 0.500, 0.268)
Os (0.000, 0.500, 0.732)
Os (0.500, 0.000, 0.268)
Os (0.500, 0.000, 0.732)

Record 11
Below is a relaxed structure of Fe2Sb, with properties calculated at the PBE-GGA level.

Calculated values
Crystal system: tetragonal
Symmetry: I4/mcm
Energy relative to the elements, uncorrected: 309 meV per atom

Cell lengths 4.856, 4.856, 8.281 Å; angles 90.00, 90.00, 90.00 degrees
Element x y z (fractional)
Fe (0.202, 0.298, 0.000)
Fe (0.202, 0.702, 0.500)
Fe (0.298, 0.202, 0.500)
Fe (0.298, 0.798, 0.000)
Fe (0.702, 0.202, 0.000)
Fe (0.702, 0.798, 0.500)
Fe (0.798, 0.298, 0.500)
Fe (0.798, 0.702, 0.000)
Sb (0.000, 0.000, 0.250)
Sb (0.000, 0.000, 0.750)
Sb (0.500, 0.500, 0.250)
Sb (0.500, 0.500, 0.750)

Record 12
Below is a relaxed structure of HRh3W, with properties calculated at the PBE-GGA level.

Calculated values
Crystal system: cubic
Final energy: -5.979 eV per atom
Symmetry: Pm-3m

Cell lengths 4.716, 4.716, 4.716 Å; angles 90.00, 90.00, 90.00 degrees
Element x y z (fractional)
H (0.000, 0.000, 0.000)
Rh (0.000, 0.500, 0.500)
Rh (0.500, 0.000, 0.500)
Rh (0.500, 0.500, 0.000)
W (0.500, 0.500, 0.500)

| no. | D(E_F) (states/eV/f.u.) | spin magnetization (μB per cell) |
| --- | --- | --- |
| 1 | 2.3 | 0.000 |
| 2 | 8.8 | 1.378 |
| 3 | 2.7 | 0.000 |
| 4 | 6.4 | 4.909 |
| 5 | 0.0 | 0.000 |
| 6 | 6.9 | 0.000 |
| 7 | 12.8 | 0.000 |
| 8 | 0.0 | 0.000 |
| 9 | 10.1 | 0.000 |
| 10 | 4.0 | 0.000 |
| 11 | 3.1 | 17.217 |
| 12 | 2.6 | 0.665 |